[1]
Entry from Alexandria via LeMat-Bulk: FeSbPb2 after structural relaxation (GGA-PBE).

Output
For the uncorrected formation energy, the calculation gives 2.1 eV per formula unit. The value obtained for the density of states at the Fermi level is 9.85 states/eV/cell.

Unit cell a=4.642 b=4.642 c=9.648 alpha=90.00 beta=90.00 gamma=90.00
Space group I-4m2 (No. 119)
Asymmetric unit:
Fe 0.000 0.000 0.000
Sb 0.000 0.500 0.250
Pb 0.000 0.000 0.500
Pb 0.000 0.500 0.750

[2]
Entry from Alexandria via LeMat-Bulk: Fe3SbPb after structural relaxation (GGA-PBE).

Output
For the uncorrected formation energy, the calculation gives 5.1 eV per formula unit. The value obtained for the density of states at the Fermi level is 4.40 states/eV/cell. For the energy above the most stable polymorph in this dataset, the calculation gives 0.0 kJ per mole of atoms.

Unit cell a=4.797 b=4.797 c=4.797 alpha=90.00 beta=90.00 gamma=90.00
Space group Pm-3m (No. 221)
Asymmetric unit:
Fe 0.000 0.000 0.500
Sb 0.000 0.000 0.000
Pb 0.500 0.500 0.500

[3]
Entry from Alexandria via LeMat-Bulk: FeSbPb4 after structural relaxation (GGA-PBE).

Output
For the uncorrected formation energy, the calculation gives 4.3 eV per formula unit. The value obtained for the density of states at the Fermi level is 31.76 states/eV/cell.

Unit cell a=9.042 b=9.042 c=9.042 alpha=90.00 beta=90.00 gamma=90.00
Space group F-43m (No. 216)
Asymmetric unit:
Fe 0.000 0.000 0.000
Sb 0.250 0.250 0.250
Pb 0.126 0.126 0.626

[4]
Entry from Alexandria via LeMat-Bulk: FeSbPb2 after structural relaxation (GGA-PBE).

Output
For the uncorrected formation energy, the calculation gives 1.1 eV per formula unit. The value obtained for the density of states at the Fermi level is 9.35 states/eV/cell.

Unit cell a=15.327 b=3.320 c=4.239 alpha=90.00 beta=105.90 gamma=90.00
Space group C2/m (No. 12)
Asymmetric unit:
Fe 0.000 0.000 0.000
Sb 0.000 0.500 0.500
Pb 0.172 0.500 0.172

[5]
Entry from Alexandria via LeMat-Bulk: FeSbPb2 after structural relaxation (GGA-PBE).

Output
For the uncorrected formation energy, the calculation gives 1.7 eV per formula unit. The value obtained for the density of states at the Fermi level is 4.03 states/eV/cell.

Unit cell a=3.387 b=3.452 c=8.395 alpha=90.00 beta=90.00 gamma=90.00
Space group Pmmm (No. 47)
Asymmetric unit:
Fe 0.000 0.000 0.000
Sb 0.000 0.000 0.500
Pb 0.500 0.500 0.200

[6]
Entry from Alexandria via LeMat-Bulk: FeSbPb2 after structural relaxation (GGA-PBE).

Output
For the uncorrected formation energy, the calculation gives 3.1 eV per formula unit. The value obtained for the density of states at the Fermi level is 21.11 states/eV/cell.

Unit cell a=6.079 b=6.079 c=14.017 alpha=90.00 beta=90.00 gamma=90.00
Space group I-42d (No. 122)
Asymmetric unit:
Fe 0.000 0.000 0.000
Sb 0.000 0.000 0.500
Pb 0.179 0.250 0.125

[7]
Entry from Alexandria via LeMat-Bulk: FeSbPb2 after structural relaxation (GGA-PBE).

Output
For the uncorrected formation energy, the calculation gives 1.2 eV per formula unit. The value obtained for the density of states at the Fermi level is 3.19 states/eV/cell.

Unit cell a=4.831 b=4.139 c=5.938 alpha=90.00 beta=109.54 gamma=90.00
Space group P2/m (No. 10)
Asymmetric unit:
Fe 0.000 0.000 0.000
Sb 0.500 0.000 0.000
Pb 0.172 0.500 0.313

[8]
Entry from Alexandria via LeMat-Bulk: FeSbPb2 after structural relaxation (GGA-PBE).

Output
For the uncorrected formation energy, the calculation gives 1.0 eV per formula unit. The value obtained for the density of states at the Fermi level is 4.07 states/eV/cell.

Unit cell a=3.384 b=3.384 c=8.563 alpha=90.00 beta=90.00 gamma=90.00
Space group P4mm (No. 99)
Asymmetric unit:
Fe 0.000 0.000 0.000
Sb 0.500 0.500 0.854
Pb 0.000 0.000 0.558
Pb 0.500 0.500 0.232

[9]
Entry from Alexandria via LeMat-Bulk: FeSbPb2 after structural relaxation (GGA-PBE).

Output
For the uncorrected formation energy, the calculation gives 0.9 eV per formula unit. The value obtained for the density of states at the Fermi level is 5.80 states/eV/cell.

Unit cell a=3.3852 b=3.3852 c=30.5521 alpha=90.00 beta=90.00 gamma=120.00
Space group R3m (No. 160, hexagonal axes)
Asymmetric unit:
Fe 0.0000 0.0000 0.0000
Sb 0.0000 0.0000 0.2774
Pb 0.0000 0.0000 0.5070
Pb 0.0000 0.0000 0.7366

[10]
Entry from Alexandria via LeMat-Bulk: FeSbPb2 after structural relaxation (GGA-PBE).

Output
For the uncorrected formation energy, the calculation gives 2.2 eV per formula unit. The value obtained for the density of states at the Fermi level is 8.67 states/eV/cell.

Unit cell a=6.324 b=11.237 c=3.404 alpha=90.00 beta=120.48 gamma=90.00
Space group C2/m (No. 12)
Asymmetric unit:
Fe 0.000 0.000 0.000
Sb 0.000 0.500 0.000
Pb 0.250 0.250 0.500

[11]
Entry from Alexandria via LeMat-Bulk: FeSbPb2 after structural relaxation (GGA-PBE).

Output
For the uncorrected formation energy, the calculation gives 1.8 eV per formula unit. The value obtained for the density of states at the Fermi level is 16.53 states/eV/cell.

Unit cell a=3.4561 b=3.4561 c=29.1825 alpha=90.00 beta=90.00 gamma=120.00
Space group R-3m (No. 166, hexagonal axes)
Asymmetric unit:
Fe 0.0000 0.0000 0.0000
Sb 0.0000 0.0000 0.5000
Pb 0.0000 0.0000 0.2651

[12]
Entry from Alexandria via LeMat-Bulk: FeSbPb2 after structural relaxation (GGA-PBE).

Output
For the uncorrected formation energy, the calculation gives 2.3 eV per formula unit. The value obtained for the density of states at the Fermi level is 25.36 states/eV/cell.

Unit cell a=7.448 b=7.448 c=7.448 alpha=90.00 beta=90.00 gamma=90.00
Space group F-43m (No. 216)
Asymmetric unit:
Fe 0.000 0.000 0.000
Sb 0.250 0.250 0.750
Pb 0.000 0.000 0.500
Pb 0.250 0.250 0.250

[13]
Entry from Alexandria via LeMat-Bulk: TaFeSb2Pb after structural relaxation (GGA-PBE).

Output
For the uncorrected formation energy, the calculation gives 3.1 eV per formula unit. The value obtained for the density of states at the Fermi level is 5.31 states/eV/cell.

Unit cell a=4.850 b=4.850 c=4.919 alpha=90.00 beta=90.00 gamma=90.00
Space group P4/mmm (No. 123)
Asymmetric unit:
Ta 0.000 0.000 0.000
Fe 0.000 0.000 0.500
Sb 0.000 0.500 0.500
Pb 0.500 0.500 0.000

[14]
Entry from Alexandria via LeMat-Bulk: FeSb2TePb after structural relaxation (GGA-PBE).

Output
For the uncorrected formation energy, the calculation gives 7.0 eV per formula unit. The value obtained for the density of states at the Fermi level is 9.67 states/eV/cell. For the energy above the most stable polymorph in this dataset, the calculation gives 104.1 kJ per mole of atoms.

Unit cell a=5.781 b=5.781 c=5.763 alpha=90.00 beta=90.00 gamma=90.00
Space group P4/mmm (No. 123)
Asymmetric unit:
Fe 0.000 0.000 0.000
Sb 0.000 0.500 0.500
Te 0.500 0.500 0.000
Pb 0.500 0.500 0.500

[15]
Entry from Alexandria via LeMat-Bulk: FeSb2TePb after structural relaxation (GGA-PBE).

Output
For the uncorrected formation energy, the calculation gives 1.6 eV per formula unit. The value obtained for the density of states at the Fermi level is 4.89 states/eV/cell. For the energy above the most stable polymorph in this dataset, the calculation gives 0.0 kJ per mole of atoms.

Unit cell a=4.765 b=4.765 c=5.532 alpha=90.00 beta=90.00 gamma=90.00
Space group P4/mmm (No. 123)
Asymmetric unit:
Fe 0.000 0.000 0.000
Sb 0.000 0.500 0.000
Te 0.000 0.000 0.500
Pb 0.500 0.500 0.500

[16]
Entry from Alexandria via LeMat-Bulk: ZrFeSbPb2 after structural relaxation (GGA-PBE).

Output
For the uncorrected formation energy, the calculation gives 6.3 eV per formula unit. The value obtained for the density of states at the Fermi level is 4.58 states/eV/cell.

Unit cell a=5.794 b=5.794 c=5.400 alpha=90.00 beta=90.00 gamma=90.00
Space group P4/mmm (No. 123)
Asymmetric unit:
Zr 0.000 0.000 0.000
Fe 0.500 0.500 0.000
Sb 0.000 0.000 0.500
Pb 0.000 0.500 0.500

[17]
Entry from Alexandria via LeMat-Bulk: ScFePb2 after structural relaxation (GGA-PBE).

Output
For the formation energy, the calculation gives 0.362 eV/atom. The value obtained for the density of states at the Fermi level is 18.89 states/eV/cell. For the energy above the most stable polymorph in this dataset, the calculation gives 26.7 kJ per mole of atoms.

Unit cell a=7.193 b=7.193 c=7.193 alpha=90.00 beta=90.00 gamma=90.00
Space group F-43m (No. 216)
Asymmetric unit:
Sc 0.000 0.000 0.000
Fe 0.250 0.250 0.750
Pb 0.000 0.000 0.500
Pb 0.250 0.250 0.250

[18]
Entry from Alexandria via LeMat-Bulk: ScFePb2 after structural relaxation (GGA-PBE).

Output
For the formation energy, the calculation gives 0.223 eV/atom. The value obtained for the density of states at the Fermi level is 27.46 states/eV/cell. For the energy above the most stable polymorph in this dataset, the calculation gives 13.2 kJ per mole of atoms.

Unit cell a=7.047 b=7.047 c=7.047 alpha=90.00 beta=90.00 gamma=90.00
Space group Fm-3m (No. 225)
Asymmetric unit:
Sc 0.000 0.000 0.000
Fe 0.000 0.000 0.500
Pb 0.250 0.250 0.250

[19]
Entry from Alexandria via LeMat-Bulk: ScFePb2 after structural relaxation (GGA-PBE).

Output
For the formation energy, the calculation gives 0.169 eV/atom. The value obtained for the density of states at the Fermi level is 9.50 states/eV/cell. For the energy above the most stable polymorph in this dataset, the calculation gives 8.0 kJ per mole of atoms.

Unit cell a=8.031 b=4.473 c=5.532 alpha=90.00 beta=116.81 gamma=90.00
Space group C2/m (No. 12)
Asymmetric unit:
Sc 0.000 0.000 0.000
Fe 0.000 0.500 0.500
Pb 0.237 0.000 0.710

[20]
Entry from Alexandria via LeMat-Bulk: ScFePb2 after structural relaxation (GGA-PBE).

Output
For the formation energy, the calculation gives 0.203 eV/atom. The value obtained for the density of states at the Fermi level is 3.49 states/eV/cell. For the energy above the most stable polymorph in this dataset, the calculation gives 11.4 kJ per mole of atoms.

Unit cell a=3.487 b=4.606 c=5.925 alpha=90.00 beta=104.29 gamma=90.00
Space group Pm (No. 6)
Asymmetric unit:
Sc 0.000 0.000 0.000
Fe 0.321 0.500 0.249
Pb 0.435 0.500 0.796
Pb 0.770 0.000 0.451

[21]
Entry from Alexandria via LeMat-Bulk: ScFePb2 after structural relaxation (GGA-PBE).

Output
For the formation energy, the calculation gives 0.237 eV/atom. The value obtained for the density of states at the Fermi level is 15.14 states/eV/cell. For the energy above the most stable polymorph in this dataset, the calculation gives 14.6 kJ per mole of atoms.

Unit cell a=7.801 b=7.801 c=6.243 alpha=90.00 beta=90.00 gamma=90.00
Space group I-42d (No. 122)
Asymmetric unit:
Sc 0.000 0.000 0.000
Fe 0.000 0.000 0.500
Pb 0.215 0.250 0.625

[22]
Entry from Alexandria via LeMat-Bulk: ScFePb2 after structural relaxation (GGA-PBE).

Output
For the formation energy, the calculation gives 0.208 eV/atom. The value obtained for the density of states at the Fermi level is 10.67 states/eV/cell. For the energy above the most stable polymorph in this dataset, the calculation gives 11.8 kJ per mole of atoms.

Unit cell a=3.3597 b=3.3597 c=29.2869 alpha=90.00 beta=90.00 gamma=120.00
Space group R3m (No. 160, hexagonal axes)
Asymmetric unit:
Sc 0.0000 0.0000 0.0000
Fe 0.0000 0.0000 0.2714
Pb 0.0000 0.0000 0.5357
Pb 0.0000 0.0000 0.7611

[23]
Entry from Alexandria via LeMat-Bulk: ScFePb2 after structural relaxation (GGA-PBE).

Output
For the formation energy, the calculation gives 0.085 eV/atom. The value obtained for the density of states at the Fermi level is 3.99 states/eV/cell. For the energy above the most stable polymorph in this dataset, the calculation gives 0.0 kJ per mole of atoms.

Unit cell a=3.382 b=3.382 c=8.228 alpha=90.00 beta=90.00 gamma=90.00
Space group P4mm (No. 99)
Asymmetric unit:
Sc 0.000 0.000 0.000
Fe 0.500 0.500 0.163
Pb 0.000 0.000 0.378
Pb 0.500 0.500 0.735

[24]
Entry from Alexandria via LeMat-Bulk: ScFePb2 after structural relaxation (GGA-PBE).

Output
For the formation energy, the calculation gives 0.265 eV/atom. The value obtained for the density of states at the Fermi level is 11.84 states/eV/cell. For the energy above the most stable polymorph in this dataset, the calculation gives 17.4 kJ per mole of atoms.

Unit cell a=3.5091 b=3.5091 c=26.0075 alpha=90.00 beta=90.00 gamma=120.00
Space group R-3m (No. 166, hexagonal axes)
Asymmetric unit:
Sc 0.0000 0.0000 0.0000
Fe 0.0000 0.0000 0.5000
Pb 0.0000 0.0000 0.2407

[25]
Entry from Alexandria via LeMat-Bulk: ScFePb2 after structural relaxation (GGA-PBE).

Output
For the formation energy, the calculation gives 0.160 eV/atom. The value obtained for the density of states at the Fermi level is 10.00 states/eV/cell. For the energy above the most stable polymorph in this dataset, the calculation gives 7.2 kJ per mole of atoms.

Unit cell a=4.241 b=4.241 c=9.914 alpha=90.00 beta=90.00 gamma=90.00
Space group I-4m2 (No. 119)
Asymmetric unit:
Sc 0.000 0.000 0.000
Fe 0.000 0.500 0.750
Pb 0.000 0.000 0.500
Pb 0.000 0.500 0.250

[26]
Entry from Alexandria via LeMat-Bulk: ScFePb2 after structural relaxation (GGA-PBE).

Output
For the formation energy, the calculation gives 0.182 eV/atom. The value obtained for the density of states at the Fermi level is 3.71 states/eV/cell. For the energy above the most stable polymorph in this dataset, the calculation gives 9.3 kJ per mole of atoms.

Unit cell a=3.387 b=4.437 c=6.131 alpha=90.00 beta=99.72 gamma=90.00
Space group P2/m (No. 10)
Asymmetric unit:
Sc 0.000 0.000 0.000
Fe 0.500 0.000 0.500
Pb 0.326 0.500 0.738

[27]
Entry from Alexandria via LeMat-Bulk: Sc12Fe6Pb after structural relaxation (GGA-PBE).

Output
For the formation energy, the calculation gives -0.155 eV/atom. The value obtained for the density of states at the Fermi level is 44.36 states/eV/cell.

Unit cell a=9.056 b=9.056 c=9.056 alpha=90.00 beta=90.00 gamma=90.00
Space group Im-3 (No. 204)
Asymmetric unit:
Sc 0.000 0.197 0.296
Fe 0.000 0.383 0.500
Pb 0.000 0.000 0.000

[28]
Entry from Alexandria via LeMat-Bulk: ScFePb2 after structural relaxation (GGA-PBE).

Output
For the formation energy, the calculation gives 0.199 eV/atom. The value obtained for the density of states at the Fermi level is 6.79 states/eV/cell. For the energy above the most stable polymorph in this dataset, the calculation gives 11.0 kJ per mole of atoms.

Unit cell a=3.556 b=5.503 c=9.241 alpha=90.00 beta=90.00 gamma=90.00
Space group Immm (No. 71)
Asymmetric unit:
Sc 0.000 0.000 0.000
Fe 0.000 0.000 0.500
Pb 0.000 0.500 0.225

[29]
Entry from Alexandria via LeMat-Bulk: ScFePb3 after structural relaxation (GGA-PBE).

Output
For the formation energy, the calculation gives 0.436 eV/atom. The value obtained for the density of states at the Fermi level is 3.95 states/eV/cell.

Unit cell a=5.087 b=5.087 c=5.087 alpha=90.00 beta=90.00 gamma=90.00
Space group Pm-3m (No. 221)
Asymmetric unit:
Sc 0.000 0.000 0.000
Fe 0.500 0.500 0.500
Pb 0.000 0.500 0.500